Record 1
Computed, not measured: Zr2Al2Ga3 after structural relaxation at the PBE level of DFT.

Output
The calculated formation energy is -163.0 kJ/mol of formula units. The value obtained for the polymorph energy (0 for the lowest one) is 1.0 kJ/mol of atoms. As for the space group: C2/m, No. 12. The value obtained for the size of the total moment is 0.000 μB per atom. The total energy comes out at -35.35 eV/cell.

Cell lengths 3.8714, 4.9619, 7.5151 Å; angles 80.19, 104.93, 90.00 degrees
Last column: nearest neighbours and their distance in Å.
Positions (direct):
1 Ga 0.0000 0.0000 0.0000  4 Zr 2.77, 4 Al 2.83-2.94
2 Zr 0.6386 0.9221 0.2773  6 Ga 2.70-2.94
3 Zr 0.3614 0.0779 0.7227  6 Ga 2.70-2.94
4 Al 0.1029 0.4343 0.2057  5 Ga 2.68-2.94, 1 Al 2.94
5 Al 0.8971 0.5657 0.7943  5 Ga 2.68-2.94, 1 Al 2.94
6 Ga 0.7326 0.3467 0.4652  2 Ga 2.57, 3 Al 2.68-2.79, 3 Zr 2.70-2.85
7 Ga 0.2674 0.6533 0.5348  2 Ga 2.57, 3 Al 2.68-2.79, 3 Zr 2.70-2.85

Record 2
Computed, not measured: BeSiW2 after structural relaxation at the PBE level of DFT.

Output
Its uncorrected formation energy is 213 meV per atom. As for the space group: Cmmm, No. 65. The value obtained for the size of the total moment is 0.000 μB per atom. The total energy comes out at -34.20 eV/cell.

Cell lengths 2.7903, 2.7903, 7.1599 Å; angles 90.00, 90.00, 104.49 degrees
Last column: nearest neighbours and their distance in Å.
Positions (direct):
1 W 0.0000 0.0000 0.0168  2 Be 2.39, 2 Si 2.56
2 Si 0.5000 0.5000 0.7500  4 W 2.56, 4 Si 2.79
3 Be 0.5000 0.5000 0.2500  4 W 2.39
4 W 0.0000 0.0000 0.4832  2 Be 2.39, 2 Si 2.56

Record 3
Computed, not measured: TcSO3 after structural relaxation at the PBE level of DFT.

Output
Its uncorrected formation energy is -289 meV per atom. As for the space group: Pm-3m, No. 221. The value obtained for the size of the total moment is 0.351 μB per atom. The total energy comes out at -30.81 eV/cell.

Cell lengths 3.8677, 3.8677, 3.8677 Å; angles 90.00, 90.00, 90.00 degrees
Last column: nearest neighbours and their distance in Å.
Positions (direct):
1 O 0.5000 0.0000 0.0000  2 Tc 1.93
2 O 0.0000 0.5000 0.0000  2 Tc 1.93
3 O 0.0000 0.0000 0.5000  2 Tc 1.93
4 Tc 0.0000 0.0000 0.0000  6 O 1.93
5 S 0.5000 0.5000 0.5000  12 O 2.73

Record 4
Computed, not measured: HoEr after structural relaxation at the PBE level of DFT.

Output
The calculated formation energy is 26.7 kJ/mol of formula units. The value obtained for the polymorph energy (0 for the lowest one) is 13.4 kJ/mol of atoms. As for the space group: Pm-3m, No. 221. The value obtained for the size of the total moment is 0.001 μB per atom. The total energy comes out at -8.86 eV/cell.

Cell lengths 3.9611, 3.9611, 3.9611 Å; angles 90.00, 90.00, 90.00 degrees
Last column: nearest neighbours and their distance in Å.
Positions (direct):
1 Ho 0.0000 0.0000 0.0000  8 Er 3.43
2 Er 0.5000 0.5000 0.5000  8 Ho 3.43

Record 5
Computed, not measured: K3ZrOs after structural relaxation at the PBE level of DFT.

Output
The calculated formation energy is 1046.1 kJ/mol of formula units. The value obtained for the polymorph energy (0 for the lowest one) is 0.0 kJ/mol of atoms. As for the space group: Pm-3m, No. 221. The value obtained for the size of the total moment is 0.000 μB per atom. The total energy comes out at -12.23 eV/cell.

Cell lengths 6.0082, 6.0082, 6.0082 Å; angles 90.00, 90.00, 90.00 degrees
Last column: nearest neighbours and their distance in Å.
Positions (direct):
1 Os 0.0000 0.0000 0.0000  6 K 3.00
2 K 0.0000 0.5000 0.0000  2 Os 3.00
3 K 0.5000 0.0000 0.0000  2 Os 3.00
4 Zr 0.5000 0.5000 0.5000  12 K 4.25
5 K 0.0000 0.0000 0.5000  2 Os 3.00

Record 6
Computed, not measured: Th4CoSe5 after structural relaxation at the PBE level of DFT.

Output
Its uncorrected formation energy is -1345 meV per atom. As for the space group: C2/m, No. 12. The value obtained for the size of the total moment is 0.000 μB per atom. The total energy comes out at -67.66 eV/cell.

Cell lengths 4.1107, 8.0920, 9.6250 Å; angles 106.54, 102.33, 90.00 degrees
Last column: nearest neighbours and their distance in Å.
Positions (direct):
1 Se 0.8320 0.1387 0.6639  4 Th 2.97-3.01
2 Se 0.8359 0.6307 0.6718  3 Th 2.86-2.98
3 Th 0.3284 0.8708 0.6568  5 Se 2.86-2.99, 1 Co 3.09
4 Se 0.1680 0.8613 0.3361  4 Th 2.97-3.01
5 Th 0.6716 0.1292 0.3432  5 Se 2.86-2.99, 1 Co 3.09
6 Se 0.1641 0.3693 0.3282  3 Th 2.86-2.98
7 Se 0.5000 0.5000 0.0000  4 Th 3.03
8 Th 0.0010 0.7762 0.0020  2 Co 2.74, 4 Se 2.98-3.03
9 Co 0.5000 0.0000 0.0000  4 Th 2.74
10 Th 0.9990 0.2238 0.9980  2 Co 2.74, 4 Se 2.98-3.03

Which value of size of the total moment does entry 6 give? 0.000 μB per atom

Look up the size of the total moment of the second one. 0.000 μB per atom

Which formula does entry 6 have? Th4CoSe5